{
  "formula": "LiTmPd4",
  "functional": "PBE",
  "state": "relaxed",
  "e_above_lowest_polymorph_ev_per_fu": 0.01,
  "vol_a3_per_atom": 16.5,
  "magmom_total_mub_per_atom": 0.00,
  "delta_e_f_ev_per_fu": -3.62,
  "lattice": [[4.596, -1.966, 0.000], [4.596, 1.966, 0.000], [-1.927, 0.000, 5.472]],
  "species": ["Li", "Tm", "Pd", "Pd", "Pd", "Pd"],
  "fractional_positions": [[0.000, 0.000, 0.000], [0.000, 0.000, 0.500], [0.333, 0.333, 0.162], [0.338, 0.338, 0.683], [0.662, 0.662, 0.317], [0.667, 0.667, 0.838]]
}

{
  "formula": "Be2CuRh2",
  "functional": "PBE",
  "state": "relaxed",
  "e_above_lowest_polymorph_ev_per_fu": 0.00,
  "vol_a3_per_atom": 11.1,
  "magmom_total_mub_per_atom": 0.00,
  "delta_e_f_ev_per_fu": -2.34,
  "lattice": [[6.126, 0.000, 0.000], [0.000, 6.126, 0.000], [0.000, 0.000, 2.949]],
  "species": ["Be", "Be", "Be", "Be", "Cu", "Cu", "Rh", "Rh", "Rh", "Rh"],
  "fractional_positions": [[0.128, 0.372, 0.000], [0.372, 0.872, 0.000], [0.628, 0.128, 0.000], [0.872, 0.628, 0.000], [0.000, 0.000, 0.000], [0.500, 0.500, 0.000], [0.168, 0.668, 0.500], [0.332, 0.168, 0.500], [0.668, 0.832, 0.500], [0.832, 0.332, 0.500]]
}

{
  "formula": "Ac2Ge2Au15",
  "functional": "PBE",
  "state": "relaxed",
  "vol_a3_per_atom": 20.9,
  "magmom_total_mub_per_atom": 0.00,
  "delta_e_f_ev_per_fu": -5.56,
  "lattice": [[4.898, 2.828, 4.778], [-4.898, 2.828, 4.778], [0.000, -5.655, 4.778]],
  "species": ["Ac", "Ac", "Ge", "Ge", "Au", "Au", "Au", "Au", "Au", "Au", "Au", "Au", "Au", "Au", "Au", "Au", "Au", "Au", "Au"],
  "fractional_positions": [[0.165, 0.165, 0.165], [0.835, 0.835, 0.835], [0.411, 0.411, 0.411], [0.589, 0.589, 0.589], [0.000, 0.500, 0.500], [0.143, 0.143, 0.662], [0.143, 0.662, 0.143], [0.194, 0.500, 0.806], [0.194, 0.806, 0.500], [0.338, 0.857, 0.857], [0.500, 0.000, 0.500], [0.500, 0.194, 0.806], [0.500, 0.500, 0.000], [0.500, 0.806, 0.194], [0.662, 0.143, 0.143], [0.806, 0.194, 0.500], [0.806, 0.500, 0.194], [0.857, 0.338, 0.857], [0.857, 0.857, 0.338]]
}

{
  "formula": "MnCuSi3",
  "functional": "PBE",
  "state": "relaxed",
  "formation_energy_uncorrected_ev_per_atom": 0.429,
  "e_above_lowest_polymorph_ev_per_fu": 0.00,
  "vol_a3_per_atom": 16.8,
  "magmom_total_mub_per_atom": 0.00,
  "lattice": [[4.375, 0.000, 0.000], [0.000, 4.375, 0.000], [0.000, 0.000, 4.375]],
  "species": ["Mn", "Cu", "Si", "Si", "Si"],
  "fractional_positions": [[0.000, 0.000, 0.000], [0.500, 0.500, 0.500], [0.000, 0.000, 0.500], [0.000, 0.500, 0.000], [0.500, 0.000, 0.000]]
}

{
  "formula": "BeCr2Re",
  "functional": "PBE",
  "state": "relaxed",
  "vol_a3_per_atom": 12.0,
  "magmom_total_mub_per_atom": 0.42,
  "delta_e_f_ev_per_fu": 0.30,
  "lattice": [[0.000, 2.882, 2.882], [2.882, 0.000, 2.882], [2.882, 2.882, 0.000]],
  "species": ["Be", "Cr", "Cr", "Re"],
  "fractional_positions": [[0.000, 0.000, 0.000], [0.500, 0.500, 0.500], [0.750, 0.750, 0.750], [0.250, 0.250, 0.250]]
}

{
  "formula": "KTl2In",
  "functional": "PBE",
  "state": "relaxed",
  "vol_a3_per_atom": 32.3,
  "magmom_total_mub_per_atom": 0.00,
  "delta_e_f_ev_per_fu": 0.01,
  "lattice": [[3.549, -5.661, 0.000], [3.549, 5.661, 0.000], [-1.384, 0.000, 3.213]],
  "species": ["K", "Tl", "Tl", "In"],
  "fractional_positions": [[0.000, 0.000, 0.000], [0.000, 0.500, 0.500], [0.500, 0.000, 0.500], [0.500, 0.500, 0.000]]
}

{
  "formula": "Zr2C3",
  "functional": "PBE",
  "state": "relaxed",
  "e_above_lowest_polymorph_ev_per_fu": 0.00,
  "vol_a3_per_atom": 11.2,
  "magmom_total_mub_per_atom": 0.00,
  "delta_e_f_ev_per_fu": 0.68,
  "lattice": [[1.631, 0.942, 6.072], [-1.631, 0.942, 6.072], [0.000, -1.884, 6.072]],
  "species": ["Zr", "Zr", "C", "C", "C"],
  "fractional_positions": [[0.091, 0.091, 0.091], [0.909, 0.909, 0.909], [0.330, 0.330, 0.330], [0.500, 0.500, 0.500], [0.670, 0.670, 0.670]]
}

{
  "formula": "Rb2Bi2As",
  "functional": "PBE",
  "state": "relaxed",
  "vol_a3_per_atom": 38.0,
  "magmom_total_mub_per_atom": 0.00,
  "delta_e_f_ev_per_fu": -0.88,
  "lattice": [[7.959, 0.000, 0.000], [0.000, 7.959, 0.000], [0.000, 0.000, 5.991]],
  "species": ["Rb", "Rb", "Rb", "Rb", "Bi", "Bi", "Bi", "Bi", "As", "As"],
  "fractional_positions": [[0.176, 0.324, 0.000], [0.324, 0.824, 0.000], [0.676, 0.176, 0.000], [0.824, 0.676, 0.000], [0.137, 0.637, 0.500], [0.363, 0.137, 0.500], [0.637, 0.863, 0.500], [0.863, 0.363, 0.500], [0.000, 0.000, 0.500], [0.500, 0.500, 0.500]]
}

{
  "formula": "TaTiF2",
  "functional": "PBE",
  "state": "relaxed",
  "formation_energy_uncorrected_ev_per_atom": -0.880,
  "e_above_lowest_polymorph_ev_per_fu": 2.50,
  "vol_a3_per_atom": 14.7,
  "magmom_total_mub_per_atom": 0.20,
  "lattice": [[-2.473, 2.473, 4.807], [2.473, -2.473, 4.807], [2.473, 2.473, -4.807]],
  "species": ["Ta", "Ta", "Ti", "Ti", "F", "F", "F", "F"],
  "fractional_positions": [[0.000, 0.000, 0.000], [0.750, 0.250, 0.500], [0.250, 0.750, 0.500], [0.500, 0.500, 0.000], [0.162, 0.625, 0.037], [0.375, 0.412, 0.537], [0.588, 0.125, 0.963], [0.875, 0.838, 0.463]]
}

{
  "formula": "NdAgSn",
  "functional": "PBE",
  "state": "relaxed",
  "vol_a3_per_atom": 25.3,
  "magmom_total_mub_per_atom": 0.00,
  "delta_e_f_ev_per_fu": -0.97,
  "lattice": [[-1.800, 1.800, 5.863], [1.800, -1.800, 5.863], [1.800, 1.800, -5.863]],
  "species": ["Nd", "Ag", "Sn"],
  "fractional_positions": [[0.000, 0.000, 0.000], [0.329, 0.329, 0.000], [0.692, 0.692, 0.000]]
}

{
  "formula": "UNb4Se8",
  "functional": "PBE",
  "state": "relaxed",
  "formation_energy_uncorrected_ev_per_atom": -0.838,
  "e_above_lowest_polymorph_ev_per_fu": 0.00,
  "vol_a3_per_atom": 23.0,
  "magmom_total_mub_per_atom": 0.19,
  "lattice": [[3.591, 2.073, 6.698], [-3.591, 2.073, 6.698], [0.000, -4.147, 6.698]],
  "species": ["U", "Nb", "Nb", "Nb", "Nb", "Se", "Se", "Se", "Se", "Se", "Se", "Se", "Se"],
  "fractional_positions": [[0.000, 0.000, 0.000], [0.000, 0.000, 0.500], [0.000, 0.500, 0.000], [0.500, 0.000, 0.000], [0.500, 0.500, 0.500], [0.248, 0.248, 0.248], [0.258, 0.258, 0.737], [0.258, 0.737, 0.258], [0.263, 0.742, 0.742], [0.737, 0.258, 0.258], [0.742, 0.263, 0.742], [0.742, 0.742, 0.263], [0.752, 0.752, 0.752]]
}

{
  "formula": "TmHfFePt",
  "functional": "PBE",
  "state": "relaxed",
  "vol_a3_per_atom": 18.2,
  "magmom_total_mub_per_atom": 0.25,
  "delta_e_f_ev_per_fu": -2.31,
  "lattice": [[0.000, 3.315, 3.315], [3.315, 0.000, 3.315], [3.315, 3.315, 0.000]],
  "species": ["Tm", "Hf", "Fe", "Pt"],
  "fractional_positions": [[0.000, 0.000, 0.000], [0.500, 0.500, 0.500], [0.750, 0.750, 0.750], [0.250, 0.250, 0.250]]
}

{
  "formula": "Ac3Sn4Au2",
  "functional": "PBE",
  "state": "relaxed",
  "vol_a3_per_atom": 30.4,
  "magmom_total_mub_per_atom": 0.00,
  "delta_e_f_ev_per_fu": -6.63,
  "lattice": [[6.164, -2.405, 0.000], [6.164, 2.405, 0.000], [-2.049, 0.000, 9.221]],
  "species": ["Ac", "Ac", "Ac", "Sn", "Sn", "Sn", "Sn", "Au", "Au"],
  "fractional_positions": [[0.000, 0.000, 0.000], [0.335, 0.335, 0.335], [0.665, 0.665, 0.665], [0.050, 0.050, 0.375], [0.296, 0.296, 0.949], [0.704, 0.704, 0.051], [0.950, 0.950, 0.625], [0.372, 0.372, 0.698], [0.628, 0.628, 0.302]]
}

{
  "formula": "Na3Tl3In2",
  "functional": "PBE",
  "state": "relaxed",
  "e_above_lowest_polymorph_ev_per_fu": 0.00,
  "vol_a3_per_atom": 27.9,
  "magmom_total_mub_per_atom": 0.00,
  "delta_e_f_ev_per_fu": -0.76,
  "lattice": [[4.319, 0.000, 0.000], [-0.004, 5.045, 0.000], [-2.152, -2.147, 10.249]],
  "species": ["Na", "Na", "Na", "Tl", "Tl", "Tl", "In", "In"],
  "fractional_positions": [[0.000, 0.000, 0.000], [0.127, 0.618, 0.253], [0.873, 0.382, 0.747], [0.368, 0.880, 0.739], [0.500, 0.500, 0.000], [0.632, 0.120, 0.261], [0.250, 0.250, 0.498], [0.750, 0.750, 0.502]]
}

{
  "formula": "Sm2AgPt",
  "functional": "PBE",
  "state": "relaxed",
  "vol_a3_per_atom": 27.5,
  "magmom_total_mub_per_atom": 0.00,
  "delta_e_f_ev_per_fu": -2.55,
  "lattice": [[2.100, 1.213, 7.198], [-2.100, 1.213, 7.198], [0.000, -2.425, 7.198]],
  "species": ["Sm", "Sm", "Ag", "Pt"],
  "fractional_positions": [[0.000, 0.000, 0.000], [0.188, 0.188, 0.188], [0.759, 0.759, 0.759], [0.596, 0.596, 0.596]]
}

{
  "formula": "SrIn6Ni2",
  "functional": "PBE",
  "state": "relaxed",
  "vol_a3_per_atom": 29.6,
  "magmom_total_mub_per_atom": 0.00,
  "delta_e_f_ev_per_fu": 0.41,
  "lattice": [[0.000, 6.432, 6.432], [6.432, 0.000, 6.432], [6.432, 6.432, 0.000]],
  "species": ["Sr", "Sr", "In", "In", "In", "In", "In", "In", "In", "In", "In", "In", "In", "In", "Ni", "Ni", "Ni", "Ni"],
  "fractional_positions": [[0.125, 0.125, 0.125], [0.875, 0.875, 0.875], [0.164, 0.164, 0.586], [0.164, 0.586, 0.164], [0.164, 0.586, 0.586], [0.414, 0.414, 0.836], [0.414, 0.836, 0.414], [0.414, 0.836, 0.836], [0.586, 0.164, 0.164], [0.586, 0.164, 0.586], [0.586, 0.586, 0.164], [0.836, 0.414, 0.414], [0.836, 0.414, 0.836], [0.836, 0.836, 0.414], [0.000, 0.500, 0.500], [0.500, 0.000, 0.500], [0.500, 0.500, 0.000], [0.500, 0.500, 0.500]]
}